[1]
! HoPt3 | Alexandria via LeMat-Bulk | PBE-GGA | optimized geometry; values from VASP
! formation enthalpy at 0 K = -895 meV/atom
! density = 17.60 g/cm³
! D(E_F) = 5.8 states/eV/f.u.
! energy = -0.4829 Ry per atom
&SYSTEM
  ibrav = 0, nat = 4, ntyp = 2
/
ATOMIC_SPECIES
Pt 195.08 Pt.upf
Ho 164.93 Ho.upf
ATOMIC_POSITIONS crystal
Pt 0.750 0.250 0.500
Pt 0.250 0.750 0.500
Pt 0.500 0.500 0.000
Ho 0.000 0.000 0.000
CELL_PARAMETERS angstrom
-1.335 -0.579 -3.833
-0.635 -3.967 0.821
-2.941 3.157 2.740

***

[2]
! CaAc8Co4 | Alexandria via LeMat-Bulk | PBE-GGA | optimized geometry; values from VASP
! formation enthalpy at 0 K = -33 meV/atom
! density = 7.57 g/cm³
! D(E_F) = 10.3 states/eV/f.u.
! energy = -0.3602 Ry per atom
&SYSTEM
  ibrav = 0, nat = 13, ntyp = 3
/
ATOMIC_SPECIES
Co 58.93 Co.upf
Ac 227.00 Ac.upf
Ca 40.08 Ca.upf
ATOMIC_POSITIONS crystal
Co 0.853 0.506 0.788
Co 0.661 0.177 0.502
Co 0.179 0.497 0.146
Co 0.371 0.827 0.432
Ac 0.809 0.348 0.035
Ac 0.878 0.682 0.563
Ac 0.475 0.351 0.699
Ac 0.557 0.653 0.234
Ac 0.852 0.986 0.310
Ac 0.179 0.018 0.624
Ac 0.223 0.656 0.899
Ac 0.154 0.321 0.371
Ca 0.516 0.002 0.967
CELL_PARAMETERS angstrom
4.158 0.000 0.901
1.890 10.253 1.322
-0.149 0.036 10.735

***

[3]
! Ti5CuS8 | Alexandria via LeMat-Bulk | PBE-GGA | optimized geometry; values from VASP
! raw formation energy = -1.200 eV/atom
! density = 3.55 g/cm³
! D(E_F) = 8.7 states/eV/f.u.
! energy = -0.4903 Ry per atom
&SYSTEM
  ibrav = 0, nat = 14, ntyp = 3
/
ATOMIC_SPECIES
Ti 47.87 Ti.upf
S 32.06 S.upf
Cu 63.55 Cu.upf
ATOMIC_POSITIONS crystal
Ti 0.610 0.610 0.610
Ti 0.610 0.171 0.610
Ti 0.171 0.610 0.610
Ti 0.000 0.000 0.000
Ti 0.610 0.610 0.171
S 0.867 0.867 0.399
S 0.867 0.867 0.867
S 0.399 0.867 0.867
S 0.376 0.871 0.376
S 0.871 0.376 0.376
S 0.867 0.399 0.867
S 0.376 0.376 0.376
S 0.376 0.376 0.871
Cu 0.250 0.250 0.250
CELL_PARAMETERS angstrom
7.178 0.000 0.000
3.589 6.216 0.000
3.589 2.072 5.861

***

[4]
! MoRhBr2 | Alexandria via LeMat-Bulk | PBE-GGA | optimized geometry; values from VASP
! raw formation energy = 0.771 eV/atom
! density = 7.94 g/cm³
! D(E_F) = 4.1 states/eV/f.u.
! energy above the lowest structure with this stoichiometry = 777 meV/atom
! energy = -0.3389 Ry per atom
&SYSTEM
  ibrav = 0, nat = 4, ntyp = 3
/
ATOMIC_SPECIES
Br 79.90 Br.upf
Rh 102.91 Rh.upf
Mo 95.94 Mo.upf
ATOMIC_POSITIONS crystal
Br 0.000 0.033 0.002
Br 0.000 0.467 0.498
Rh 0.500 0.750 0.750
Mo 0.500 0.250 0.250
CELL_PARAMETERS angstrom
-2.454 2.041 2.965
-2.585 -1.249 -1.279
0.824 -4.135 3.529

***

[5]
! TaSb2AsI | Alexandria via LeMat-Bulk | PBE-GGA | optimized geometry; values from VASP
! raw formation energy = 0.748 eV/atom
! density = 6.53 g/cm³
! D(E_F) = 4.1 states/eV/f.u.
! energy above the lowest structure with this stoichiometry = 0 meV/atom
! energy = -0.3316 Ry per atom
&SYSTEM
  ibrav = 0, nat = 5, ntyp = 4
/
ATOMIC_SPECIES
Sb 121.76 Sb.upf
As 74.92 As.upf
I 126.90 I.upf
Ta 180.95 Ta.upf
ATOMIC_POSITIONS crystal
Sb 0.000 0.500 0.000
Sb 0.500 0.000 0.000
As 0.500 0.500 0.500
I 0.000 0.000 0.500
Ta 0.000 0.000 0.000
CELL_PARAMETERS angstrom
5.447 0.000 0.000
0.000 5.447 0.000
0.000 0.000 5.366

***

[6]
! PrSmY2 | Alexandria via LeMat-Bulk | PBE-GGA | optimized geometry; values from VASP
! formation enthalpy at 0 K = 20 meV/atom
! density = 5.80 g/cm³
! D(E_F) = 6.6 states/eV/f.u.
! energy above the lowest structure with this stoichiometry = 3 meV/atom
! energy = -0.4106 Ry per atom
&SYSTEM
  ibrav = 0, nat = 4, ntyp = 3
/
ATOMIC_SPECIES
Pr 140.91 Pr.upf
Y 88.91 Y.upf
Sm 150.36 Sm.upf
ATOMIC_POSITIONS crystal
Pr 0.500 0.500 0.500
Y 0.000 0.000 0.500
Y 0.000 0.500 0.000
Sm 0.500 0.000 0.000
CELL_PARAMETERS angstrom
-3.522 3.668 0.040
-3.298 -3.192 2.310
1.691 1.574 4.590

***

[7]
! DyGa3Au2 | Alexandria via LeMat-Bulk | PBE-GGA | optimized geometry; values from VASP
! formation enthalpy at 0 K = -506 meV/atom
! density = 10.66 g/cm³
! D(E_F) = 2.1 states/eV/f.u.
! energy above the lowest structure with this stoichiometry = 0 meV/atom
! energy = -0.2851 Ry per atom
&SYSTEM
  ibrav = 0, nat = 12, ntyp = 3
/
ATOMIC_SPECIES
Ga 69.72 Ga.upf
Au 196.97 Au.upf
Dy 162.50 Dy.upf
ATOMIC_POSITIONS crystal
Ga 0.338 0.676 0.151
Ga 0.662 0.324 0.849
Ga 0.039 0.079 0.400
Ga 0.318 0.636 0.527
Ga 0.961 0.921 0.600
Ga 0.682 0.364 0.473
Au 0.783 0.567 0.269
Au 0.508 0.015 0.188
Au 0.217 0.433 0.731
Au 0.492 0.985 0.812
Dy 0.127 0.253 0.098
Dy 0.873 0.747 0.902
CELL_PARAMETERS angstrom
4.310 0.000 0.000
-2.155 8.176 0.039
0.000 -3.641 6.752

***

[8]
! LiHg2O | Alexandria via LeMat-Bulk | PBE-GGA | optimized geometry; values from VASP
! raw formation energy = -0.508 eV/atom
! density = 9.04 g/cm³
! D(E_F) = 1.7 states/eV/f.u.
! energy = -0.1747 Ry per atom
&SYSTEM
  ibrav = 0, nat = 8, ntyp = 3
/
ATOMIC_SPECIES
Hg 200.59 Hg.upf
Li 6.94 Li.upf
O 16.00 O.upf
ATOMIC_POSITIONS crystal
Hg 0.875 0.000 0.750
Hg 0.000 0.625 0.250
Hg 0.750 0.125 0.250
Hg 0.375 0.250 0.750
Li 0.500 0.500 0.000
Li 0.250 0.750 0.500
O 0.750 0.250 0.500
O 0.000 0.000 0.000
CELL_PARAMETERS angstrom
9.173 0.000 0.000
0.000 9.173 0.000
4.587 4.587 1.851

***

[9]
! Ru3Au4 | Alexandria via LeMat-Bulk | PBE-GGA | optimized geometry; values from VASP
! formation enthalpy at 0 K = 434 meV/atom
! density = 15.57 g/cm³
! D(E_F) = 7.0 states/eV/f.u.
! energy = -0.3979 Ry per atom
&SYSTEM
  ibrav = 0, nat = 7, ntyp = 2
/
ATOMIC_SPECIES
Au 196.97 Au.upf
Ru 101.07 Ru.upf
ATOMIC_POSITIONS crystal
Au 0.854 0.854 0.000
Au 0.571 0.571 0.000
Au 0.146 0.146 0.000
Au 0.429 0.429 0.000
Ru 0.723 0.723 0.000
Ru 0.000 0.000 0.000
Ru 0.277 0.277 0.000
CELL_PARAMETERS angstrom
-1.666 1.666 10.482
1.666 -1.666 10.482
1.666 1.666 -10.482

***

[10]
! Sc2GaTePt | Alexandria via LeMat-Bulk | PBE-GGA | optimized geometry; values from VASP
! raw formation energy = -0.622 eV/atom
! density = 6.36 g/cm³
! D(E_F) = 3.6 states/eV/f.u.
! energy = -0.4114 Ry per atom
&SYSTEM
  ibrav = 0, nat = 5, ntyp = 4
/
ATOMIC_SPECIES
Sc 44.96 Sc.upf
Te 127.60 Te.upf
Pt 195.08 Pt.upf
Ga 69.72 Ga.upf
ATOMIC_POSITIONS crystal
Sc 0.000 0.000 0.500
Sc 0.500 0.000 0.000
Te 0.500 0.500 0.500
Pt 0.000 0.000 0.000
Ga 0.000 0.500 0.000
CELL_PARAMETERS angstrom
5.173 0.000 0.000
0.000 4.708 0.000
0.000 0.000 5.173

***

[11]
! Er6HfS8 | Alexandria via LeMat-Bulk | PBE-GGA | optimized geometry; values from VASP
! raw formation energy = -1.928 eV/atom
! density = 7.50 g/cm³
! D(E_F) = 7.6 states/eV/f.u.
! energy = -0.4864 Ry per atom
&SYSTEM
  ibrav = 0, nat = 15, ntyp = 3
/
ATOMIC_SPECIES
S 32.06 S.upf
Er 167.26 Er.upf
Hf 178.49 Hf.upf
ATOMIC_POSITIONS crystal
S 0.245 0.755 0.755
S 0.755 0.755 0.245
S 0.245 0.245 0.755
S 0.755 0.245 0.245
S 0.245 0.755 0.245
S 0.750 0.750 0.750
S 0.755 0.245 0.755
S 0.250 0.250 0.250
Er 0.500 0.500 0.000
Er 0.500 0.000 0.500
Er 0.500 0.000 0.000
Er 0.000 0.500 0.500
Er 0.000 0.500 0.000
Er 0.000 0.000 0.500
Hf 0.000 0.000 0.000
CELL_PARAMETERS angstrom
6.640 0.000 3.834
2.213 6.260 3.834
0.000 0.000 7.667

***

[12]
! PuTlSe2 | Alexandria via LeMat-Bulk | PBE-GGA | optimized geometry; values from VASP
! raw formation energy = -1.096 eV/atom
! density = 8.32 g/cm³
! D(E_F) = 10.2 states/eV/f.u.
! energy = -0.5154 Ry per atom
&SYSTEM
  ibrav = 0, nat = 4, ntyp = 3
/
ATOMIC_SPECIES
Tl 204.38 Tl.upf
Se 78.96 Se.upf
Pu 244.00 Pu.upf
ATOMIC_POSITIONS crystal
Tl 0.497 0.497 0.510
Se 0.268 0.268 0.197
Se 0.068 0.068 0.795
Pu 0.667 0.667 0.998
CELL_PARAMETERS angstrom
-1.368 2.921 2.740
-4.075 0.091 1.137
-0.268 -3.831 7.218